[1]
Here is a relaxed structure of K2TlSn3O8 from the Alexandria database. Energies are from PBE-GGA.

POSCAR file:
```
K2TlSn3O8
1.0
-3.189 3.074 4.822
-6.310 -1.339 1.126
-1.426 -4.133 6.138
K Tl Sn O
2 1 3 8
Direct
0.131 0.131 0.608
0.494 0.494 0.517
0.906 0.906 0.281
0.497 0.005 0.001
0.005 0.497 0.001
0.497 0.497 0.001
0.272 0.272 0.185
0.720 0.720 0.839
0.231 0.231 0.847
0.690 0.231 0.847
0.231 0.690 0.847
0.750 0.317 0.182
0.317 0.750 0.182
0.750 0.750 0.182
```

Results
ΔE_f (raw)   -1.465 eV/atom
Spin magnetization   0.232 μB per cell
SG   No. 160

=====

[2]
Here is a relaxed structure of TaSb3Au from the Alexandria database. Energies are from PBE-GGA.

POSCAR file:
```
TaSb3Au
1.0
5.312 0.000 0.000
0.000 5.312 0.000
0.000 0.000 5.312
Sb Au Ta
3 1 1
Direct
0.000 0.500 0.000
0.000 0.000 0.500
0.500 0.000 0.000
0.500 0.500 0.500
0.000 0.000 0.000
```

Results
ΔE_f (raw)   0.535 eV/atom
Spin magnetization   0.000 μB per cell
SG   No. 221

=====

[3]
Here is a relaxed structure of LaTlPb from the Alexandria database. Energies are from PBE-GGA.

POSCAR file:
```
LaTlPb
1.0
4.943 0.000 0.000
-2.471 4.281 0.000
0.000 0.000 4.551
Pb Tl La
1 1 1
Direct
0.667 0.333 0.371
0.333 0.667 0.642
0.000 0.000 0.988
```

Results
Spin magnetization   0.000 μB per cell
SG   No. 156
Formation energy   -0.41 eV per atom

=====

[4]
Here is a relaxed structure of Sc2SbOs from the Alexandria database. Energies are from PBE-GGA.

POSCAR file:
```
Sc2SbOs
1.0
-0.850 -0.282 3.098
3.070 -0.595 0.788
1.236 7.763 1.046
Os Sb Sc
1 1 2
Direct
0.000 0.000 0.513
0.500 0.500 0.710
0.000 0.000 0.979
0.500 0.500 0.299
```

Results
ΔE_f (raw)   -0.140 eV/atom
Spin magnetization   0.577 μB per cell
SG   No. 99

=====

[5]
Here is a relaxed structure of Ac2PbO4F from the Alexandria database. Energies are from PBE-GGA.

POSCAR file:
```
Ac2PbO4F
1.0
3.703 0.000 0.000
1.852 5.580 0.734
1.852 1.989 6.842
Ac Pb O F
2 1 4 1
Direct
0.813 0.675 0.699
0.187 0.325 0.301
0.000 0.000 0.000
0.174 0.978 0.674
0.370 0.321 0.938
0.826 0.022 0.326
0.630 0.679 0.062
0.500 0.500 0.500
```

Results
ΔE_f (raw)   -2.648 eV/atom
Spin magnetization   0.000 μB per cell
SG   No. 12

=====

[6]
Here is a relaxed structure of CaIn4W from the Alexandria database. Energies are from PBE-GGA.

POSCAR file:
```
CaIn4W
1.0
0.000 4.086 4.086
4.086 0.000 4.086
4.086 4.086 0.000
Ca In W
1 4 1
Direct
0.000 0.000 0.000
0.874 0.375 0.375
0.375 0.375 0.874
0.375 0.874 0.375
0.375 0.375 0.375
0.750 0.750 0.750
```

Results
Spin magnetization   0.000 μB per cell
SG   No. 216
Formation energy   0.47 eV per atom

=====

[7]
Here is a relaxed structure of Fe2Si2Rh from the Alexandria database. Energies are from PBE-GGA.

POSCAR file:
```
Fe2Si2Rh
1.0
6.621 0.000 0.000
0.000 6.621 0.000
0.000 0.000 2.663
Si Rh Fe
4 2 4
Direct
0.355 0.855 0.000
0.855 0.645 0.000
0.645 0.145 0.000
0.145 0.355 0.000
0.000 0.000 0.000
0.500 0.500 0.000
0.151 0.651 0.500
0.651 0.849 0.500
0.849 0.349 0.500
0.349 0.151 0.500
```

Results
ΔE_f (raw)   -0.380 eV/atom
Spin magnetization   1.838 μB per cell
SG   No. 127

=====

[8]
Here is a relaxed structure of K2GaSnAu2 from the Alexandria database. Energies are from PBE-GGA.

POSCAR file:
```
K2GaSnAu2
1.0
-0.705 -4.153 5.700
4.139 -4.978 -3.115
4.033 7.544 1.589
K Ga Sn Au
4 2 2 4
Direct
0.681 0.910 0.362
0.181 0.452 0.362
0.819 0.548 0.638
0.319 0.090 0.638
0.750 0.500 0.000
0.250 0.500 0.000
0.250 0.000 0.000
0.750 0.000 0.000
0.423 0.652 0.846
0.577 0.348 0.154
0.077 0.806 0.154
0.923 0.194 0.846
```

Results
Spin magnetization   0.000 μB per cell
SG   No. 72
Formation energy   -0.29 eV per atom

=====

[9]
Here is a relaxed structure of AgB2Te2 from the Alexandria database. Energies are from PBE-GGA.

POSCAR file:
```
AgB2Te2
1.0
-3.175 -2.388 -0.014
2.332 -3.106 0.833
-1.279 -1.646 6.915
B Te Ag
2 2 1
Direct
0.750 0.250 0.500
0.250 0.750 0.500
0.348 0.348 0.303
0.652 0.652 0.697
0.000 0.000 0.000
```

Results
ΔE_f (raw)   1.011 eV/atom
Spin magnetization   0.000 μB per cell
SG   No. 139

=====

[10]
Here is a relaxed structure of K2ErUSe4 from the Alexandria database. Energies are from PBE-GGA.

POSCAR file:
```
K2ErUSe4
1.0
4.204 0.000 0.000
0.000 7.294 0.110
0.000 -2.541 7.672
K Er U Se
2 1 1 4
Direct
0.500 0.000 0.500
0.000 0.500 0.500
0.500 0.500 0.000
0.000 0.000 0.000
0.500 0.240 0.207
0.500 0.760 0.793
0.000 0.269 0.795
0.000 0.731 0.205
```

Results
ΔE_f (raw)   -1.475 eV/atom
Spin magnetization   3.005 μB per cell
SG   No. 10

=====

[11]
Here is a relaxed structure of TlFeAs from the Alexandria database. Energies are from PBE-GGA.

POSCAR file:
```
TlFeAs
1.0
-1.808 -3.294 1.121
3.319 -1.251 1.673
-2.306 3.786 7.404
Fe Tl As
2 2 2
Direct
0.000 0.000 0.000
0.500 0.500 0.000
0.000 0.500 0.329
0.500 0.000 0.671
0.000 0.500 0.855
0.500 0.000 0.145
```

Results
Spin magnetization   0.315 μB per cell
SG   No. 129
Formation energy   -0.05 eV per atom

=====

[12]
Here is a relaxed structure of PaNbTe2 from the Alexandria database. Energies are from PBE-GGA.

POSCAR file:
```
PaNbTe2
1.0
-1.818 -3.025 -1.079
1.793 -2.491 3.960
-3.974 1.427 2.697
Nb Pa Te
1 1 2
Direct
0.500 0.500 0.500
0.500 0.000 0.000
0.000 0.000 0.500
0.000 0.500 0.000
```

Results
ΔE_f (raw)   -0.380 eV/atom
Spin magnetization   0.640 μB per cell
SG   No. 123

=====

Computed E (Ry per atom) in order:
-0.4029, -0.3649, -0.3000, -0.5250, -0.5036, -0.2832, -0.5443, -0.2148, -0.2563, -0.4023, -0.3828, -0.5029
Computed calculated volume (Å³/cell) in order:
242, 150, 96, 82, 136, 136, 117, 361, 105, 236, 133, 93